This record from Alexandria via LeMat-Bulk describes a geometry-optimized FeRe3O structure. The functional is PBE with a Hubbard U.

Results
Uncorrected energy   -6.72 eV per atom
V   83.8 Å³/cell
Space group   Pm-3m (221)
Distance to the lowest polymorph of the same formula   1664 meV/atom
M_tot   0.00 μB per formula unit

Cell lengths 4.3759, 4.3759, 4.3759 Å; angles 90.00, 90.00, 90.00 degrees
Fractional coordinates of all 5 atoms:
Fe 0.0000 0.0000 0.0000
Re 0.0000 0.0000 0.5000
Re 0.0000 0.5000 0.0000
Re 0.5000 0.0000 0.0000
O 0.5000 0.5000 0.5000